{
  "formula": "Sr3Tb2PuTe6",
  "functional": "PBE",
  "state": "optimized geometry",
  "n_ef_per_ev_cell": 17.259,
  "raw_formation_energy_ev_per_atom": -1.460,
  "spacegroup": "C2/m",
  "cell": [[9.9883, -2.2586, 0.0000], [9.9883, 2.2586, 0.0000], [-2.3035, 0.0000, 8.9004]],
  "species": ["Sr", "Sr", "Sr", "Tb", "Tb", "Pu", "Te", "Te", "Te", "Te", "Te", "Te"],
  "frac_coords": [[0.0000, 0.0000, 0.0000], [0.3347, 0.3347, 0.6674], [0.6653, 0.6653, 0.3326], [0.3342, 0.3342, 0.1688], [0.6658, 0.6658, 0.8312], [0.0000, 0.0000, 0.5000], [0.1651, 0.1651, 0.5949], [0.1714, 0.1714, 0.0724], [0.4953, 0.4953, 0.2558], [0.5047, 0.5047, 0.7442], [0.8286, 0.8286, 0.9276], [0.8349, 0.8349, 0.4051]]
}